ErTm2Tc: optimized geometry, GGA-PBE.

Computed properties:
E_tot (eV/atom): -6.109
DFT formation energy (kcal/mol of atoms): -3.26
Distance to the lowest polymorph of the same formula (meV/atom): 4.6

Cell: 3.8356 11.7897 9.0413 Å, 90.00 90.00 90.00°
Closest atoms and distances in Å follow each position.
Space group Cmcm (No. 63)
Unique sites:
Er (0.0000, 0.0703, 0.2500)  2 Tc 2.77
Tm (0.0000, 0.3557, 0.0647)  3 Tc 2.89-3.06
Tc (0.0000, 0.2605, 0.7500)  2 Er 2.77, 6 Tm 2.89-3.06